Below is a geometry-optimized MnFe2O4 structure, with properties calculated at the GGA+U level.

Cell lengths 5.9917, 5.9917, 5.9917 Å; angles 118.91, 118.58, 92.18 degrees
Fractional positions:
Mn1 0.5000 0.0000 0.0000
Mn2 0.5000 0.5000 0.5000
Fe1 0.0000 0.0000 0.0000
Fe2 0.1222 0.3722 0.7500
Fe3 0.5000 0.0000 0.5000
Fe4 0.8778 0.6278 0.2500
O1 0.2615 0.2356 0.4742
O2 0.2615 0.7873 0.0258
O3 0.2772 0.2445 0.0327
O4 0.2882 0.7555 0.5327
O5 0.7118 0.2445 0.4673
O6 0.7228 0.7555 0.9673
O7 0.7385 0.2127 0.9742
O8 0.7385 0.7644 0.5258

Properties
The symmetry is Imma (74). For the total magnetization, the calculation gives 1.57 μB per atom. The energy relative to the lowest polymorph listed for this composition comes out at 24.8 kJ/mol of atoms.